Compound: HoTc2O8
Source: Alexandria
Functional: PBE
Structure: optimized geometry

The calculation puts the calculated density at 3.63 g/cm3. The total energy is -7.668 eV/atom. Its density of states at the Fermi level is 0.33 states/eV per atom.

The structure belongs to space group C2/m (No. 12); the cell edges are 9.0262, 8.9566 and 5.5855 Å and the angles 90.00°, 97.33° and 90.00°. The distinct sites, in fractional coordinates, are Ho at (0.0000, 0.0000, 0.0000), Tc at (0.2340, 0.0000, 0.6390), O at (0.0775, 0.5000, 0.2761), O at (0.1444, 0.1470, 0.7851) and O at (0.1758, 0.0000, 0.3219).

Compound: Ho2TcO8
Source: Alexandria
Functional: PBE
Structure: optimized geometry

The calculation puts the calculated density at 6.37 g/cm3. The total energy is -6.950 eV/atom. Its density of states at the Fermi level is 0.62 states/eV per atom.

The structure belongs to space group C2/m (No. 12); the cell edges are 7.1659, 8.2134 and 5.8183 Å and the angles 90.00°, 122.14° and 90.00°. The distinct sites, in fractional coordinates, are Ho at (0.0000, 0.2027, 0.0000), Tc at (0.0000, 0.5000, 0.5000), O at (0.0000, 0.2816, 0.5000), O at (0.1822, 0.0000, 0.3019) and O at (0.2279, 0.4122, 0.0663).

Compound: HoTc2O8
Source: Alexandria
Functional: PBE
Structure: optimized geometry

The calculation puts the calculated density at 3.79 g/cm3. The total energy is -7.788 eV/atom. Its density of states at the Fermi level is 0.28 states/eV per atom.

The structure belongs to space group Fm-3m (No. 225); the cell edges are 9.4940, 9.4940 and 9.4940 Å and the angles 90.00°, 90.00° and 90.00°. The distinct sites, in fractional coordinates, are Ho at (0.0000, 0.0000, 0.0000), Tc at (0.2500, 0.2500, 0.2500) and O at (0.1432, 0.1432, 0.1432).

Compound: Ho3Tl3TcO8
Source: Alexandria
Functional: PBE
Structure: optimized geometry

The calculation puts the calculated density at 8.50 g/cm3. The total energy is -6.881 eV/atom. Its density of states at the Fermi level is 0.03 states/eV per atom.

The structure belongs to space group R-3m (No. 166, hexagonal axes); the cell edges are 6.7759, 6.7759 and 19.6566 Å and the angles 90.00°, 90.00° and 120.00°. The distinct sites, in fractional coordinates, are Ho at (0.0000, 0.5000, 0.0000), Tl at (0.0000, 0.5000, 0.5000), Tc at (0.0000, 0.0000, 0.0000), O at (0.0000, 0.0000, 0.2775) and O at (0.0253, 0.5127, 0.7211).

Compound: HoTlTc2O8
Source: Alexandria
Functional: PBE
Structure: optimized geometry

The calculation puts the calculated density at 4.76 g/cm3. The total energy is -7.375 eV/atom. Its density of states at the Fermi level is 0.64 states/eV per atom.

The structure belongs to space group P-3m1 (No. 164); the cell edges are 6.0079, 6.0079 and 7.7343 Å and the angles 90.00°, 90.00° and 120.00°. The distinct sites, in fractional coordinates, are Ho at (0.0000, 0.0000, 0.0000), Tl at (0.0000, 0.0000, 0.5000), Tc at (0.3333, 0.6667, 0.2543), O at (0.1704, 0.3407, 0.1764) and O at (0.3333, 0.6667, 0.4799).

Compound: HoTe2O5
Source: Alexandria
Functional: PBE
Structure: optimized geometry

The calculation puts the calculated density at 6.02 g/cm3. The total energy is -6.146 eV/atom. Its density of states at the Fermi level is 0.18 states/eV per atom.

The structure belongs to space group Pbcn (No. 60); the cell edges are 7.3531, 10.6799 and 7.0243 Å and the angles 90.00°, 90.00° and 90.00°. The distinct sites, in fractional coordinates, are Ho at (0.0000, 0.0558, 0.2500), Te at (0.1082, 0.3509, 0.0158), O at (0.0000, 0.4382, 0.2500), O at (0.1580, 0.0654, 0.5303) and O at (0.1846, 0.2123, 0.1718).

Compound: Ho2Te2O
Source: Alexandria
Functional: PBE
Structure: optimized geometry

The calculation puts the calculated density at 8.06 g/cm3. The total energy is -6.173 eV/atom. Its density of states at the Fermi level is 0.03 states/eV per atom.

The structure belongs to space group C2/m (No. 12); the cell edges are 13.4301, 3.9384 and 11.3052 Å and the angles 90.00°, 124.06° and 90.00°. The distinct sites, in fractional coordinates, are Ho at (0.0310, 0.0000, 0.1739), Ho at (0.1866, 0.0000, 0.5710), Te at (0.0289, 0.5000, 0.6682), Te at (0.1637, 0.5000, 0.0902) and O at (0.2125, 0.0000, 0.3881).

Compound: Ho12Te3O5
Source: Alexandria
Functional: PBE
Structure: optimized geometry

The calculation puts the calculated density at 8.70 g/cm3. The total energy is -6.161 eV/atom. Its density of states at the Fermi level is 0.61 states/eV per atom.

The structure belongs to space group Ia-3d (No. 230); the cell edges are 15.5086, 15.5086 and 15.5086 Å and the angles 90.00°, 90.00° and 90.00°. The distinct sites, in fractional coordinates, are Ho at (0.0430, 0.0481, 0.6468), Te at (0.0000, 0.2500, 0.1250), O at (0.0000, 0.0000, 0.0000) and O at (0.0000, 0.2500, 0.3750).

Compound: Ho6TeO12
Source: Alexandria
Functional: PBE
Structure: optimized geometry

The calculation puts the calculated density at 8.37 g/cm3. The total energy is -7.897 eV/atom. Its density of states at the Fermi level is 0.00 states/eV per atom.

The structure belongs to space group R-3 (No. 148, hexagonal axes); the cell edges are 9.8100, 9.8100 and 9.3509 Å and the angles 90.00°, 90.00° and 120.00°. The distinct sites, in fractional coordinates, are Ho at (0.0408, 0.7879, 0.1429), Te at (0.0000, 0.0000, 0.5000), O at (0.0319, 0.8085, 0.9007) and O at (0.0395, 0.8529, 0.3881).

Compound: Ho2Te2O
Source: Alexandria
Functional: PBE
Structure: optimized geometry

The calculation puts the calculated density at 7.99 g/cm3. The total energy is -6.166 eV/atom. Its density of states at the Fermi level is 0.01 states/eV per atom.

The structure belongs to space group Ibam (No. 72); the cell edges are 7.2361, 11.6638 and 5.9231 Å and the angles 90.00°, 90.00° and 90.00°. The distinct sites, in fractional coordinates, are Ho at (0.1909, 0.0917, 0.0000), Te at (0.1387, 0.3543, 0.0000) and O at (0.0000, 0.0000, 0.2500).

Compound: Ho4Te3O4
Source: Alexandria
Functional: PBE
Structure: optimized geometry

The calculation puts the calculated density at 7.97 g/cm3. The total energy is -6.290 eV/atom. Its density of states at the Fermi level is 0.46 states/eV per atom.

The structure belongs to space group Immm (No. 71); the cell edges are 3.4473, 9.0028 and 14.8601 Å and the angles 90.00°, 90.00° and 90.00°. The distinct sites, in fractional coordinates, are Ho at (0.0000, 0.0000, 0.1886), Ho at (0.0000, 0.2357, 0.5000), Te at (0.0000, 0.0000, 0.0000), Te at (0.0000, 0.5000, 0.1193) and O at (0.0000, 0.3454, 0.3598).

Compound: Ho2Te2O7
Source: Alexandria
Functional: PBE
Structure: optimized geometry

The calculation puts the calculated density at 7.85 g/cm3. The total energy is -6.682 eV/atom. Its density of states at the Fermi level is 0.00 states/eV per atom.

The structure belongs to space group Imm2 (No. 44); the cell edges are 3.3870, 11.9269 and 7.3003 Å and the angles 90.00°, 90.00° and 90.00°. The distinct sites, in fractional coordinates, are Ho at (0.0000, 0.0000, 0.0000), Ho at (0.0000, 0.5000, 0.0063), Te at (0.0000, 0.2303, 0.3089), O at (0.0000, 0.1275, 0.5154), O at (0.0000, 0.1924, 0.9353), O at (0.0000, 0.3894, 0.7260) and O at (0.0000, 0.5000, 0.3148).